DFT (PBE-GGA) results for a relaxed Sm2B2Pd2CN crystal.

Values from the calculation:
- Total DFT energy (no corrections): -0.522 Ry per atom

a b c (Å): 3.789 3.789 7.767
angles (deg): 90.00 90.00 90.00
Fractional positions:
B1 0.500 0.500 0.334
B2 0.000 0.000 0.662
C1 0.000 0.000 0.853
N1 0.500 0.500 0.152
Pd1 0.500 0.000 0.497
Pd2 0.000 0.500 0.497
Sm1 0.000 0.000 0.165
Sm2 0.500 0.500 0.840